# 1
DFT (PBE) results for an optimized crystal structure of NdHoTl2Zn2.

Values from the calculation:
- uncorrected energy (eV/cell) = -18.7
- magnetic moment (μB/f.u.) = 0.0

Cell lengths 4.7181, 4.7181, 7.4805 Å; angles 90.00, 90.00, 120.00 degrees
With the nearest neighbours (Å) after each atom.
Space group P3m1 (No. 156)
Symmetry-distinct sites (fractional):
1 Nd 0.0000 0.0000 0.0000 x1  3 Zn 3.13, 6 Tl 3.22-3.46
2 Ho 0.0000 0.0000 0.5004 x1  3 Zn 3.08, 6 Tl 3.16-3.39
3 Tl 0.3333 0.6667 0.7709 x1  3 Zn 2.79
4 Tl 0.6667 0.3333 0.2861 x1  4 Zn 2.79-3.04
5 Zn 0.3333 0.6667 0.2051 x1  3 Tl 2.79
6 Zn 0.6667 0.3333 0.6922 x1  4 Tl 2.79-3.04, 3 Ho 3.08



# 2
DFT (PBE) results for an optimized crystal structure of Hf3Sc3FeTe2.

Values from the calculation:
- uncorrected energy (eV/cell) = -67.1
- magnetic moment (μB/f.u.) = 0.0
- relative energy among the computed polymorphs (meV/atom) = 167

Cell lengths 7.7210, 7.7210, 3.6042 Å; angles 90.00, 90.00, 120.00 degrees
With the nearest neighbours (Å) after each atom.
Space group P-62m (No. 189)
Symmetry-distinct sites (fractional):
1 Hf 0.0000 0.3950 0.0000 x3  4 Te 2.98, 1 Fe 3.05, 4 Sc 3.21
2 Sc 0.0000 0.7622 0.5000 x3  2 Fe 2.57
3 Fe 0.0000 0.0000 0.0000 x1  6 Sc 2.57
4 Te 0.3333 0.6667 0.5000 x2  6 Hf 2.98, 3 Sc 3.01